Here is SrTaPS2 after structural relaxation from the Alexandria database. Energies are from PBE-GGA.

a b c (Å): 4.841 4.841 4.910
angles (deg): 90.00 90.00 90.00
Fractional positions:
Ta  0.000  0.000  0.000
P  0.000  0.000  0.500
S  0.500  0.000  0.000
S  0.000  0.500  0.000
Sr  0.500  0.500  0.500

Values from the calculation:
Electronic total energy in eV per cell: -32.20
Space-group type: P4/mmm, No. 123
ΔE to the lowest computed polymorph in meV per atom: 0

=====

Here is SrTeP2S8 after structural relaxation from the Alexandria database. Energies are from PBE-GGA.

a b c (Å): 6.008 6.008 9.579
angles (deg): 71.72 71.72 60.00
Fractional positions:
S  0.583  0.307  0.183
P  0.249  0.249  0.254
S  0.307  0.926  0.183
S  0.417  0.693  0.817
Sr  0.500  0.500  0.500
S  0.926  0.583  0.183
S  0.693  0.074  0.817
S  0.074  0.417  0.817
P  0.751  0.751  0.746
S  0.826  0.826  0.522
S  0.174  0.174  0.478
Te  0.000  0.000  0.000

Values from the calculation:
Electronic total energy in eV per cell: -53.41
Space-group type: R-3, No. 148

=====

Here is SrTeP2S after structural relaxation from the Alexandria database. Energies are from PBE-GGA.

a b c (Å): 5.062 5.062 5.234
angles (deg): 90.00 90.00 90.00
Fractional positions:
P  0.000  0.500  0.000
Te  0.000  0.000  0.000
P  0.500  0.000  0.000
Sr  0.500  0.500  0.500
S  0.000  0.000  0.500

Values from the calculation:
Electronic total energy in eV per cell: -19.38
Space-group type: P4/mmm, No. 123
ΔE to the lowest computed polymorph in meV per atom: 0

=====

Here is SrTeP2S after structural relaxation from the Alexandria database. Energies are from PBE-GGA.

a b c (Å): 5.634 5.634 5.318
angles (deg): 90.00 90.00 90.00
Site moments in Bohr magnetons follow the coordinates.
Fractional positions:
Sr  0.000  0.000  0.000  0.02
P  0.500  0.000  0.000  0.32
S  0.000  0.000  0.500  0.34
P  0.000  0.500  0.000  0.32
Te  0.500  0.500  0.500  -0.02

Values from the calculation:
Electronic total energy in eV per cell: -14.34
Space-group type: P4/mmm, No. 123
ΔE to the lowest computed polymorph in meV per atom: 1007

=====

Here is SrTePS2 after structural relaxation from the Alexandria database. Energies are from PBE-GGA.

a b c (Å): 5.477 5.477 5.831
angles (deg): 90.00 90.00 90.00
Site moments in Bohr magnetons follow the coordinates.
Fractional positions:
Te  0.500  0.500  0.500  -0.17
S  0.000  0.500  0.000  0.47
Sr  0.000  0.000  0.000  0.02
S  0.500  0.000  0.000  0.47
P  0.000  0.000  0.500  0.63

Values from the calculation:
Electronic total energy in eV per cell: -14.66
Space-group type: P4/mmm, No. 123
ΔE to the lowest computed polymorph in meV per atom: 1012

=====

Here is SrTePS2 after structural relaxation from the Alexandria database. Energies are from PBE-GGA.

a b c (Å): 5.172 5.172 5.003
angles (deg): 90.00 90.00 90.00
Fractional positions:
Sr  0.500  0.500  0.500
Te  0.000  0.000  0.000
S  0.500  0.000  0.000
S  0.000  0.500  0.000
P  0.000  0.000  0.500

Values from the calculation:
Electronic total energy in eV per cell: -19.72
Space-group type: P4/mmm, No. 123
ΔE to the lowest computed polymorph in meV per atom: 0

=====

Here is SrTiP2S after structural relaxation from the Alexandria database. Energies are from PBE-GGA.

a b c (Å): 5.273 5.273 5.306
angles (deg): 90.00 90.00 90.00
Site moments in Bohr magnetons follow the coordinates.
Fractional positions:
P  0.000  0.500  0.000  -0.13
P  0.500  0.000  0.000  -0.13
Ti  0.500  0.500  0.500  1.74
S  0.000  0.000  0.500  -0.08
Sr  0.000  0.000  0.000  -0.01

Values from the calculation:
Electronic total energy in eV per cell: -19.10
Space-group type: P4/mmm, No. 123
ΔE to the lowest computed polymorph in meV per atom: 1881

=====

Here is SrTiP2S8 after structural relaxation from the Alexandria database. Energies are from PBE-GGA.

a b c (Å): 5.956 5.956 8.543
angles (deg): 90.00 90.00 120.00
Fractional positions:
Ti  0.000  0.000  0.500
S  0.667  0.333  0.026
P  0.333  0.667  0.739
S  0.000  0.673  0.328
S  0.674  0.000  0.328
S  0.000  0.327  0.672
S  0.327  0.326  0.328
P  0.667  0.333  0.261
S  0.673  0.674  0.672
Sr  0.000  0.000  0.000
S  0.333  0.667  0.974
S  0.326  0.000  0.672

Values from the calculation:
Electronic total energy in eV per cell: -62.19
Space-group type: P-3, No. 147

=====

Here is SrTiP2S after structural relaxation from the Alexandria database. Energies are from PBE-GGA.

a b c (Å): 4.762 4.762 4.865
angles (deg): 90.00 90.00 90.00
Fractional positions:
P  0.000  0.500  0.000
Sr  0.500  0.500  0.500
P  0.500  0.000  0.000
S  0.000  0.000  0.500
Ti  0.000  0.000  0.000

Values from the calculation:
Electronic total energy in eV per cell: -28.50
Space-group type: P4/mmm, No. 123
ΔE to the lowest computed polymorph in meV per atom: 0

=====

Here is SrTl2P2S6 after structural relaxation from the Alexandria database. Energies are from PBE-GGA.

a b c (Å): 6.948 6.948 8.605
angles (deg): 66.19 66.19 60.00
Fractional positions:
S  0.756  0.265  0.713
Tl  0.788  0.788  0.636
S  0.244  0.735  0.287
S  0.265  0.265  0.713
Sr  0.000  0.000  0.000
S  0.735  0.735  0.287
Tl  0.212  0.212  0.364
S  0.735  0.244  0.287
P  0.450  0.450  0.651
S  0.265  0.756  0.713
P  0.550  0.550  0.349

Values from the calculation:
Electronic total energy in eV per cell: -49.07
Space-group type: R-3m, No. 166

=====

Here is SrTlP2S after structural relaxation from the Alexandria database. Energies are from PBE-GGA.

a b c (Å): 5.110 5.110 5.328
angles (deg): 90.00 90.00 90.00
Fractional positions:
P  0.000  0.500  0.000
Sr  0.500  0.500  0.500
S  0.000  0.000  0.500
Tl  0.000  0.000  0.000
P  0.500  0.000  0.000

Values from the calculation:
Electronic total energy in eV per cell: -17.67
Space-group type: P4/mmm, No. 123
ΔE to the lowest computed polymorph in meV per atom: 0

=====

Here is SrTl2P2S7 after structural relaxation from the Alexandria database. Energies are from PBE-GGA.

a b c (Å): 6.308 6.308 10.034
angles (deg): 71.68 71.68 60.00
Fractional positions:
S  0.052  0.814  0.704
Sr  0.500  0.500  0.500
S  0.570  0.186  0.296
Tl  0.682  0.682  0.955
S  0.814  0.430  0.704
S  0.000  0.000  0.000
S  0.430  0.052  0.704
S  0.186  0.948  0.296
P  0.919  0.919  0.244
Tl  0.318  0.318  0.045
S  0.948  0.570  0.296
P  0.081  0.081  0.756

Values from the calculation:
Electronic total energy in eV per cell: -52.72
Space-group type: R32, No. 155

=====

Here is SrTlP2S after structural relaxation from the Alexandria database. Energies are from PBE-GGA.

a b c (Å): 5.674 5.674 5.566
angles (deg): 90.00 90.00 90.00
Site moments in Bohr magnetons follow the coordinates.
Fractional positions:
S  0.000  0.000  0.500  0.13
P  0.000  0.500  0.000  0.38
P  0.500  0.000  0.000  0.38
Sr  0.000  0.000  0.000  0.01
Tl  0.500  0.500  0.500  0.02

Values from the calculation:
Electronic total energy in eV per cell: -15.76
Space-group type: P4/mmm, No. 123
ΔE to the lowest computed polymorph in meV per atom: 383

=====

Here is SrUP2S8 after structural relaxation from the Alexandria database. Energies are from PBE-GGA.

a b c (Å): 6.069 6.069 9.070
angles (deg): 90.00 90.00 120.00
Site moments in Bohr magnetons follow the coordinates.
Fractional positions:
S  0.344  0.340  0.308  -0.02
U  0.000  0.000  0.500  2.03
S  0.656  0.660  0.692  -0.02
S  0.333  0.667  0.983  -0.01
P  0.333  0.667  0.763  0.02
P  0.667  0.333  0.237  0.02
S  0.340  0.996  0.692  -0.02
S  0.660  0.004  0.308  -0.02
Sr  0.000  0.000  0.000  0.00
S  0.004  0.344  0.692  -0.02
S  0.996  0.656  0.308  -0.02
S  0.667  0.333  0.017  -0.01

Values from the calculation:
Electronic total energy in eV per cell: -65.74
Space-group type: P-3, No. 147

=====

Here is SrVP2S8 after structural relaxation from the Alexandria database. Energies are from PBE-GGA.

a b c (Å): 5.903 5.903 8.485
angles (deg): 90.00 90.00 120.00
Site moments in Bohr magnetons follow the coordinates.
Fractional positions:
S  0.667  0.333  0.029  -0.02
V  0.000  0.000  0.500  1.12
S  0.326  0.004  0.667  -0.03
S  0.674  0.996  0.333  -0.03
Sr  0.000  0.000  0.000  0.00
S  0.004  0.678  0.333  -0.03
S  0.678  0.674  0.667  -0.03
S  0.322  0.326  0.333  -0.03
S  0.996  0.322  0.667  -0.03
P  0.333  0.667  0.734  0.02
P  0.667  0.333  0.266  0.02
S  0.333  0.667  0.971  -0.02

Values from the calculation:
Electronic total energy in eV per cell: -61.91
Space-group type: P-3, No. 147

=====

Here is SrYP2S after structural relaxation from the Alexandria database. Energies are from PBE-GGA.

a b c (Å): 5.180 5.180 5.288
angles (deg): 90.00 90.00 90.00
Fractional positions:
P  0.500  0.000  0.000
S  0.000  0.000  0.500
Y  0.500  0.500  0.500
Sr  0.000  0.000  0.000
P  0.000  0.500  0.000

Values from the calculation:
Electronic total energy in eV per cell: -21.70
Space-group type: P4/mmm, No. 123
ΔE to the lowest computed polymorph in meV per atom: 879

=====

Here is SrYP2S after structural relaxation from the Alexandria database. Energies are from PBE-GGA.

a b c (Å): 5.248 5.248 5.245
angles (deg): 90.00 90.00 90.00
Fractional positions:
P  0.500  0.000  0.000
Y  0.000  0.000  0.000
P  0.000  0.500  0.000
Sr  0.500  0.500  0.500
S  0.000  0.000  0.500

Values from the calculation:
Electronic total energy in eV per cell: -26.09
Space-group type: P4/mmm, No. 123
ΔE to the lowest computed polymorph in meV per atom: 0

=====

Here is SrZrPS2 after structural relaxation from the Alexandria database. Energies are from PBE-GGA.

a b c (Å): 5.018 5.018 5.082
angles (deg): 90.00 90.00 90.00
Fractional positions:
S  0.000  0.500  0.000
Zr  0.000  0.000  0.000
S  0.500  0.000  0.000
P  0.000  0.000  0.500
Sr  0.500  0.500  0.500

Values from the calculation:
Electronic total energy in eV per cell: -29.79
Space-group type: P4/mmm, No. 123
ΔE to the lowest computed polymorph in meV per atom: 0

=====

Here is SrZrP2S8 after structural relaxation from the Alexandria database. Energies are from PBE-GGA.

a b c (Å): 6.037 6.037 8.743
angles (deg): 90.00 90.00 120.00
Fractional positions:
S  0.662  0.664  0.680
S  0.002  0.338  0.680
S  0.338  0.336  0.320
S  0.667  0.333  0.022
Sr  0.000  0.000  0.000
S  0.336  0.998  0.680
P  0.667  0.333  0.250
P  0.333  0.667  0.750
S  0.664  0.002  0.320
Zr  0.000  0.000  0.500
S  0.998  0.662  0.320
S  0.333  0.667  0.978

Values from the calculation:
Electronic total energy in eV per cell: -63.49
Space-group type: P-3, No. 147

=====

Here is SrZrPS2 after structural relaxation from the Alexandria database. Energies are from PBE-GGA.

a b c (Å): 5.232 5.232 5.189
angles (deg): 90.00 90.00 90.00
Site moments in Bohr magnetons follow the coordinates.
Fractional positions:
Zr  0.500  0.500  0.500  -0.76
P  0.000  0.000  0.500  0.16
S  0.000  0.500  0.000  0.11
S  0.500  0.000  0.000  0.11
Sr  0.000  0.000  0.000  0.01

Values from the calculation:
Electronic total energy in eV per cell: -20.93
Space-group type: P4/mmm, No. 123
ΔE to the lowest computed polymorph in meV per atom: 1772

=====

Here is Ta2PS after structural relaxation from the Alexandria database. Energies are from PBE-GGA.

a b c (Å): 4.388 4.388 4.388
angles (deg): 60.00 60.00 60.00
Fractional positions:
P  0.000  0.000  0.000
S  0.500  0.500  0.500
Ta  0.250  0.250  0.250
Ta  0.750  0.750  0.750

Values from the calculation:
Electronic total energy in eV per cell: -35.21
Space-group type: Fm-3m, No. 225
ΔE to the lowest computed polymorph in meV per atom: 0

=====

Here is Ta2PS2 after structural relaxation from the Alexandria database. Energies are from PBE-GGA.

a b c (Å): 7.162 7.162 2.999
angles (deg): 90.00 90.00 90.00
Fractional positions:
S  0.370  0.870  0.000
Ta  0.170  0.670  0.500
S  0.130  0.370  0.000
Ta  0.670  0.830  0.500
Ta  0.830  0.330  0.500
P  0.000  0.000  0.000
S  0.630  0.130  0.000
P  0.500  0.500  0.000
Ta  0.330  0.170  0.500
S  0.870  0.630  0.000

Values from the calculation:
Electronic total energy in eV per cell: -75.93
Space-group type: P4/mbm, No. 127
ΔE to the lowest computed polymorph in meV per atom: 77

=====

Here is Ta2PS after structural relaxation from the Alexandria database. Energies are from PBE-GGA.

a b c (Å): 5.673 5.673 6.592
angles (deg): 64.51 64.51 90.00
Fractional positions:
S  0.750  0.250  0.500
Ta  0.121  0.625  0.250
Ta  0.875  0.879  0.750
P  0.500  0.500  0.000
Ta  0.629  0.125  0.250
S  0.000  0.000  0.000
P  0.250  0.750  0.500
Ta  0.375  0.371  0.750

Values from the calculation:
Electronic total energy in eV per cell: -66.27
Space-group type: I-42d, No. 122
ΔE to the lowest computed polymorph in meV per atom: 519

=====

Here is Ta2P2S after structural relaxation from the Alexandria database. Energies are from PBE-GGA.

a b c (Å): 6.912 6.912 3.306
angles (deg): 90.00 90.00 90.00
Fractional positions:
Ta  0.653  0.153  0.000
P  0.634  0.866  0.500
P  0.866  0.366  0.500
S  0.000  0.000  0.000
Ta  0.347  0.847  0.000
S  0.500  0.500  0.000
P  0.134  0.634  0.500
P  0.366  0.134  0.500
Ta  0.847  0.653  0.000
Ta  0.153  0.347  0.000

Values from the calculation:
Electronic total energy in eV per cell: -83.33
Space-group type: P4/mbm, No. 127

=====

Here is TaP2S8 after structural relaxation from the Alexandria database. Energies are from PBE-GGA.

a b c (Å): 5.542 7.369 7.369
angles (deg): 83.32 85.89 85.89
Fractional positions:
S  0.247  0.264  0.928
S  0.780  0.633  0.633
Ta  0.000  0.000  0.000
S  0.730  0.198  0.198
S  0.270  0.802  0.802
P  0.641  0.804  0.804
P  0.359  0.196  0.196
S  0.220  0.367  0.367
S  0.753  0.736  0.072
S  0.247  0.928  0.264
S  0.753  0.072  0.736

Values from the calculation:
Electronic total energy in eV per cell: -58.37
Space-group type: C2/m, No. 12